Record 1
Below is a relaxed structure of KZrAu2, with properties calculated at the PBE-GGA level.

abc: 7.136 7.136 7.136
angles: 90.00 90.00 90.00
Atoms (fractional coordinates):
1 K 0.000 0.000 0.000
2 K 0.000 0.500 0.500
3 K 0.500 0.000 0.500
4 K 0.500 0.500 0.000
5 Zr 0.000 0.000 0.500
6 Zr 0.000 0.500 0.000
7 Zr 0.500 0.000 0.000
8 Zr 0.500 0.500 0.500
9 Au 0.250 0.250 0.250
10 Au 0.250 0.250 0.750
11 Au 0.250 0.750 0.250
12 Au 0.250 0.750 0.750
13 Au 0.750 0.250 0.250
14 Au 0.750 0.250 0.750
15 Au 0.750 0.750 0.250
16 Au 0.750 0.750 0.750

Summary:
- Total magnetic moment: 0.00 μB/f.u.
- ΔE to the lowest computed polymorph: 392 meV/atom
- E_form: 0.070 eV/atom
- Symmetry: No. 225
- Final energy: -15.922 eV per formula unit
- Calculated volume: 363.3 Å³/cell



Record 2
Below is a relaxed structure of KZrAu2, with properties calculated at the PBE-GGA level.

abc: 4.286 4.286 9.677
angles: 90.00 90.00 90.00
Atoms (fractional coordinates):
1 K 0.000 0.000 0.000
2 K 0.500 0.500 0.500
3 Zr 0.000 0.500 0.750
4 Zr 0.500 0.000 0.250
5 Au 0.000 0.000 0.500
6 Au 0.000 0.500 0.250
7 Au 0.500 0.000 0.750
8 Au 0.500 0.500 0.000

Summary:
- Total magnetic moment: 0.00 μB/f.u.
- ΔE to the lowest computed polymorph: 519 meV/atom
- E_form: 0.196 eV/atom
- Symmetry: No. 119
- Final energy: -15.417 eV per formula unit
- Calculated volume: 177.8 Å³/cell



Record 3
Below is a relaxed structure of K2ZrAu, with properties calculated at the PBE-GGA level.

abc: 4.286 4.286 6.156
angles: 90.00 90.00 90.00
Atoms (fractional coordinates):
1 K 0.000 0.500 0.000
2 K 0.500 0.000 0.000
3 Zr 0.000 0.000 0.500
4 Au 0.500 0.500 0.500

Summary:
- Total magnetic moment: 1.39 μB/f.u.
- ΔE to the lowest computed polymorph: 402 meV/atom
- E_form: 0.499 eV/atom
- Symmetry: No. 123
- Final energy: -12.026 eV per formula unit
- Calculated volume: 113.1 Å³/cell



Record 4
Below is a relaxed structure of K2ZrAu, with properties calculated at the PBE-GGA level.

abc: 8.182 8.182 8.182
angles: 90.00 90.00 90.00
Atoms (fractional coordinates):
1 K 0.250 0.250 0.250
2 K 0.250 0.250 0.750
3 K 0.250 0.750 0.250
4 K 0.250 0.750 0.750
5 K 0.750 0.250 0.250
6 K 0.750 0.250 0.750
7 K 0.750 0.750 0.250
8 K 0.750 0.750 0.750
9 Zr 0.000 0.000 0.000
10 Zr 0.000 0.500 0.500
11 Zr 0.500 0.000 0.500
12 Zr 0.500 0.500 0.000
13 Au 0.000 0.000 0.500
14 Au 0.000 0.500 0.000
15 Au 0.500 0.000 0.000
16 Au 0.500 0.500 0.500

Summary:
- Total magnetic moment: 3.16 μB/f.u.
- ΔE to the lowest computed polymorph: 841 meV/atom
- E_form: 0.938 eV/atom
- Symmetry: No. 225
- Final energy: -10.270 eV per formula unit
- Calculated volume: 547.8 Å³/cell



Record 5
Below is a relaxed structure of KZr2Au2, with properties calculated at the PBE-GGA level.

abc: 8.851 8.851 2.947
angles: 90.00 90.00 90.00
Atoms (fractional coordinates):
1 K 0.000 0.000 0.000
2 K 0.500 0.500 0.000
3 Zr 0.124 0.376 0.000
4 Zr 0.376 0.876 0.000
5 Zr 0.624 0.124 0.000
6 Zr 0.876 0.624 0.000
7 Au 0.169 0.669 0.500
8 Au 0.331 0.169 0.500
9 Au 0.669 0.831 0.500
10 Au 0.831 0.331 0.500

Summary:
- Total magnetic moment: 0.00 μB/f.u.
- ΔE to the lowest computed polymorph: 0 meV/atom
- E_form: -0.143 eV/atom
- Symmetry: No. 127
- Final energy: -25.463 eV per formula unit
- Calculated volume: 230.8 Å³/cell



Record 6
Below is a relaxed structure of La3Au, with properties calculated at the PBE-GGA level.

abc: 6.256 6.256 6.256
angles: 90.00 90.00 90.00
Atoms (fractional coordinates):
1 La 0.000 0.250 0.500
2 La 0.000 0.750 0.500
3 La 0.250 0.500 0.000
4 La 0.500 0.000 0.250
5 La 0.500 0.000 0.750
6 La 0.750 0.500 0.000
7 Au 0.000 0.000 0.000
8 Au 0.500 0.500 0.500

Summary:
- Total magnetic moment: 0.00 μB/f.u.
- E_form: -0.224 eV/atom
- Symmetry: No. 223
- Final energy: -18.955 eV per formula unit
- Calculated volume: 244.8 Å³/cell



Record 7
Below is a relaxed structure of La5Au, with properties calculated at the PBE-GGA level.

abc: 4.889 15.866 4.906
angles: 90.00 90.00 90.00
Atoms (fractional coordinates):
1 La 0.000 0.000 0.000
2 La 0.000 0.169 0.500
3 La 0.000 0.343 0.000
4 La 0.000 0.657 0.000
5 La 0.000 0.831 0.500
6 La 0.500 0.157 0.000
7 La 0.500 0.331 0.500
8 La 0.500 0.500 0.000
9 La 0.500 0.669 0.500
10 La 0.500 0.843 0.000
11 Au 0.000 0.500 0.500
12 Au 0.500 0.000 0.500

Summary:
- Total magnetic moment: 0.00 μB/f.u.
- ΔE to the lowest computed polymorph: 112 meV/atom
- E_form: -0.139 eV/atom
- Symmetry: No. 65
- Final energy: -28.746 eV per formula unit
- Calculated volume: 380.6 Å³/cell



Record 8
Below is a relaxed structure of LaAu2, with properties calculated at the PBE-GGA level.

abc: 6.221 6.221 8.222
angles: 90.00 90.00 90.00
Atoms (fractional coordinates):
1 La 0.000 0.000 0.250
2 La 0.000 0.000 0.750
3 La 0.500 0.500 0.250
4 La 0.500 0.500 0.750
5 Au 0.154 0.346 0.000
6 Au 0.154 0.654 0.500
7 Au 0.346 0.154 0.500
8 Au 0.346 0.846 0.000
9 Au 0.654 0.154 0.000
10 Au 0.654 0.846 0.500
11 Au 0.846 0.346 0.500
12 Au 0.846 0.654 0.000

Summary:
- Total magnetic moment: 0.00 μB/f.u.
- E_form: -0.610 eV/atom
- Symmetry: No. 140
- Final energy: -13.313 eV per formula unit
- Calculated volume: 318.2 Å³/cell



Record 9
Below is a relaxed structure of LaAu3, with properties calculated at the PBE-GGA level.

abc: 4.647 4.647 16.944
angles: 90.00 90.00 90.00
Atoms (fractional coordinates):
1 La 0.000 0.000 0.131
2 La 0.000 0.000 0.869
3 La 0.500 0.500 0.369
4 La 0.500 0.500 0.631
5 Au 0.000 0.000 0.382
6 Au 0.000 0.000 0.618
7 Au 0.000 0.500 0.000
8 Au 0.000 0.500 0.250
9 Au 0.000 0.500 0.500
10 Au 0.000 0.500 0.750
11 Au 0.500 0.000 0.000
12 Au 0.500 0.000 0.250
13 Au 0.500 0.000 0.500
14 Au 0.500 0.000 0.750
15 Au 0.500 0.500 0.118
16 Au 0.500 0.500 0.882

Summary:
- Total magnetic moment: 0.00 μB/f.u.
- E_form: -0.582 eV/atom
- Symmetry: No. 139
- Final energy: -17.087 eV per formula unit
- Calculated volume: 365.8 Å³/cell



Record 10
Below is a relaxed structure of La3Au, with properties calculated at the PBE-GGA level.

abc: 3.710 5.631 5.722
angles: 90.00 90.00 90.00
Atoms (fractional coordinates):
1 La 0.000 0.000 0.000
2 La 0.000 0.500 0.461
3 La 0.500 0.500 0.917
4 Au 0.500 0.000 0.508

Summary:
- Total magnetic moment: 0.00 μB/f.u.
- E_form: -0.272 eV/atom
- Symmetry: No. 25
- Final energy: -19.148 eV per formula unit
- Calculated volume: 119.5 Å³/cell



Record 11
Below is a relaxed structure of LaAu4, with properties calculated at the PBE-GGA level.

abc: 4.989 4.989 15.169
angles: 90.00 90.00 120.00
Atoms (fractional coordinates):
1 La 0.000 0.000 0.000
2 La 0.333 0.667 0.667
3 La 0.667 0.333 0.333
4 Au 0.000 0.000 0.214
5 Au 0.000 0.000 0.410
6 Au 0.000 0.000 0.590
7 Au 0.000 0.000 0.786
8 Au 0.333 0.667 0.077
9 Au 0.333 0.667 0.256
10 Au 0.333 0.667 0.453
11 Au 0.333 0.667 0.881
12 Au 0.667 0.333 0.119
13 Au 0.667 0.333 0.547
14 Au 0.667 0.333 0.744
15 Au 0.667 0.333 0.923

Summary:
- Total magnetic moment: 0.00 μB/f.u.
- E_form: -0.536 eV/atom
- Symmetry: No. 166
- Final energy: -20.716 eV per formula unit
- Calculated volume: 327.0 Å³/cell



Record 12
Below is a relaxed structure of LaAu4, with properties calculated at the PBE-GGA level.

abc: 8.394 8.394 8.394
angles: 109.47 109.47 109.47
Atoms (fractional coordinates):
1 La 0.000 0.000 0.584
2 La 0.000 0.584 0.000
3 La 0.416 0.416 0.416
4 La 0.584 0.000 0.000
5 Au 0.000 0.000 0.222
6 Au 0.000 0.222 0.000
7 Au 0.000 0.352 0.352
8 Au 0.000 0.648 0.648
9 Au 0.222 0.000 0.000
10 Au 0.250 0.500 0.750
11 Au 0.250 0.750 0.500
12 Au 0.352 0.000 0.352
13 Au 0.352 0.352 0.000
14 Au 0.500 0.250 0.750
15 Au 0.500 0.750 0.250
16 Au 0.648 0.000 0.648
17 Au 0.648 0.648 0.000
18 Au 0.750 0.250 0.500
19 Au 0.750 0.500 0.250
20 Au 0.778 0.778 0.778

Summary:
- Total magnetic moment: 0.00 μB/f.u.
- E_form: -0.529 eV/atom
- Symmetry: No. 217
- Final energy: -20.682 eV per formula unit
- Calculated volume: 455.2 Å³/cell